# Ac3SiCl3 (PBE, relaxed)
data_Ac3SiCl3
_chemical_formula_sum 'Ac24 Si8 Cl24'
_space_group_name_H-M_alt 'I 41 3 2'
_space_group_IT_number 214
_space_group_name_Hall 'I 4bd 2c 3'
_cell_length_a 12.494
_cell_length_b 12.494
_cell_length_c 12.494
_cell_angle_alpha 90.00
_cell_angle_beta 90.00
_cell_angle_gamma 90.00
loop_
_atom_site_label
_atom_site_fract_x
_atom_site_fract_y
_atom_site_fract_z
Ac1 0.118 0.368 0.125
Si1 0.125 0.125 0.125
Cl1 0.123 0.375 0.373
# **E_tot**: -4.927 eV per atom
# **Magnetization**: 0.000 μB per atom
# **Formation energy from raw total energies**: -1.600 eV per atom
# **Offset from the most stable computed form**: 0 meV/atom